(1)
First-principles (PBE) data for Ca2GaRu after structural relaxation, as listed in Alexandria.

Lattice parameters (Å, degrees): 4.303 4.300 7.391 73.06 73.08 59.98
Element x y z (fractional)
1 Ru 0.135 0.899 0.830
2 Ca 0.714 0.477 0.094
3 Ga 0.470 0.232 0.829
4 Ca 0.891 0.654 0.564

## Properties
crystal system = trigonal
size of the total moment = 0.000 μB per atom
E_form = -227 meV per atom

---

(2)
First-principles (PBE) data for Zn3PS after structural relaxation, as listed in Alexandria.

Lattice parameters (Å, degrees): 4.626 4.626 4.626 90.00 90.00 90.00
Element x y z (fractional)
1 Zn 0.000 0.500 0.000
2 Zn 0.000 0.000 0.500
3 S 0.500 0.500 0.500
4 Zn 0.500 0.000 0.000
5 P 0.000 0.000 0.000

## Properties
energy above the most stable polymorph in this dataset = 0 meV/atom
formation energy without anion corrections = 0.17 eV/atom
crystal system = cubic
size of the total moment = 0.000 μB per atom

---

(3)
First-principles (PBE) data for Y2MnSi after structural relaxation, as listed in Alexandria.

Lattice parameters (Å, degrees): 5.998 5.998 5.998 144.71 134.51 58.85
Element x y z (fractional)
1 Y 0.982 0.982 0.000
2 Mn 0.548 0.548 0.000
3 Si 0.709 0.209 0.500
4 Y 0.262 0.762 0.500

## Properties
formation energy without anion corrections = -0.22 eV/atom
crystal system = orthorhombic
size of the total moment = 0.815 μB per atom

---

The evaluated N(E_F) for the records listed, in turn: 0.80 0.34 0.96 states/eV/atom.